(i)
Mn2IrOs at its PBEsol-relaxed geometry. Source: Alexandria via LeMat-Bulk, functional SCAN.

Structure (CIF):
```
data_Mn2IrOs
_cell_length_a 5.955
_cell_length_b 5.955
_cell_length_c 5.955
_cell_angle_alpha 90.00
_cell_angle_beta 90.00
_cell_angle_gamma 90.00
_symmetry_space_group_name_H-M 'F m -3 m'
_symmetry_Int_Tables_number 225
_symmetry_space_group_name_Hall '-F 4 2 3'
loop_
_atom_site_label
_atom_site_fract_x
_atom_site_fract_y
_atom_site_fract_z
Mn1 0.250 0.250 0.250
Ir1 0.000 0.000 0.000
Os1 0.000 0.000 0.500
```

***

(ii)
Mn2IrOs at its PBEsol-relaxed geometry. Source: Alexandria via LeMat-Bulk, functional SCAN.

Structure (CIF):
```
data_Mn2IrOs
_cell_length_a 5.246
_cell_length_b 7.230
_cell_length_c 2.618
_cell_angle_alpha 90.00
_cell_angle_beta 90.00
_cell_angle_gamma 90.00
_symmetry_space_group_name_H-M 'C m m m'
_symmetry_Int_Tables_number 65
_symmetry_space_group_name_Hall '-C 2 2'
loop_
_atom_site_label
_atom_site_fract_x
_atom_site_fract_y
_atom_site_fract_z
Mn1 0.250 0.250 0.000
Ir1 0.000 0.000 0.500
Os1 0.000 0.500 0.500
```

***

If we sort the structures by their calculated energies, the order from most to least stable is (i), (ii).